(1)
A plane-wave DFT calculation with PBE was carried out for crystalline KBa2TlF8 at its relaxed geometry.

Cell: 4.442 6.010 8.572 Å, 90.00 90.00 95.15°
Fractional coordinates of all 12 atoms:
Tl 0.000 0.000 0.000
Ba 0.500 0.500 0.251
Ba 0.500 0.500 0.749
F 0.516 0.262 0.500
F 0.037 0.763 0.798
F 0.439 0.215 0.000
F 0.963 0.237 0.202
F 0.037 0.763 0.202
F 0.484 0.738 0.500
F 0.963 0.237 0.798
F 0.561 0.785 0.000
K 0.000 0.000 0.500

**Space-group type**: No. 10
**Fermi-level density of states**: 0.00 states/eV per cell

(2)
A plane-wave DFT calculation with PBE was carried out for crystalline KBaTl2F8 at its relaxed geometry.

Cell: 5.977 5.977 7.149 Å, 114.71 114.71 90.00°
Fractional coordinates of all 12 atoms:
F 0.888 0.413 0.260
F 0.888 0.847 0.260
F 0.153 0.112 0.740
F 0.371 0.413 0.260
F 0.153 0.629 0.740
F 0.587 0.629 0.740
F 0.371 0.847 0.260
F 0.587 0.112 0.740
Tl 0.250 0.750 0.500
Tl 0.500 0.500 0.000
Ba 0.750 0.250 0.500
K 0.000 0.000 0.000

**Space-group type**: No. 119
**Fermi-level density of states**: 3.43 states/eV per cell

(3)
A plane-wave DFT calculation with PBE was carried out for crystalline K2BaTlF8 at its relaxed geometry.

Cell: 4.298 6.299 8.263 Å, 90.02 89.48 93.43°
Last column: magnetic moment on the atom in μB.
Fractional coordinates of all 12 atoms:
Ba 0.000 0.000 0.500  0.00
K 0.501 0.501 0.237  0.00
K 0.499 0.499 0.763  0.00
F 0.487 0.754 0.501  0.17
F 0.447 0.203 0.001  0.17
F 0.035 0.780 0.788  0.10
F 0.513 0.246 0.499  0.17
F 0.965 0.220 0.212  0.10
F 0.037 0.782 0.211  0.09
F 0.553 0.797 0.999  0.17
F 0.963 0.218 0.789  0.09
Tl 0.000 0.000 0.000  0.00

**Space-group type**: No. 2
**Fermi-level density of states**: 16.03 states/eV per cell

Let's list formation energy (no corrections) in order: -3016 -2468 -2507 meV/atom.